Entry 1:
Here is KAcCe2Se4 after structural relaxation from the Alexandria database. Energies are from PBE.

The structure in POSCAR format:
```
KAcCe2Se4
1.0
7.5318 0.0000 0.0000
0.0000 4.3155 0.0000
-2.4641 0.0000 7.3012
K Ac Ce Se
1 1 2 4
direct
0.0000 0.0000 0.0000
0.5000 0.5000 0.0000
0.0000 0.5000 0.5000
0.5000 0.0000 0.5000
0.2466 0.0000 0.7345
0.2625 0.5000 0.2716
0.7375 0.5000 0.7284
0.7534 0.0000 0.2655
```

Values from the calculation:
Space group ... P2/m
Energy relative to the elements, uncorrected ... -1.74 eV per atom
Magnetic moment ... 0.310 μB/atom

=====

Entry 2:
Here is K2AcCeSe4 after structural relaxation from the Alexandria database. Energies are from PBE.

The structure in POSCAR format:
```
K2AcCeSe4
1.0
7.7770 0.0000 0.0000
0.0000 4.4918 0.0000
-2.5885 0.0000 7.6929
K Ac Ce Se
2 1 1 4
direct
0.0000 0.0000 0.0000
0.5000 0.5000 0.0000
0.0000 0.5000 0.5000
0.5000 0.0000 0.5000
0.2480 0.0000 0.7162
0.2722 0.5000 0.2892
0.7278 0.5000 0.7108
0.7520 0.0000 0.2838
```

Values from the calculation:
Space group ... P2/m
Energy relative to the elements, uncorrected ... -1.75 eV per atom
Magnetic moment ... 0.125 μB/atom

=====

Entry 3:
Here is K3AcCe2Se6 after structural relaxation from the Alexandria database. Energies are from PBE.

The structure in POSCAR format:
```
K3AcCe2Se6
1.0
3.8574 -6.6818 0.0000
3.8574 6.6818 0.0000
-2.5746 0.0000 7.6831
K Ac Ce Se
3 1 2 6
direct
0.0000 0.0000 0.0000
0.3343 0.6657 0.0000
0.6657 0.3343 0.0000
0.5000 0.5000 0.5000
0.1668 0.8332 0.5000
0.8332 0.1668 0.5000
0.0855 0.4292 0.2880
0.2272 0.2272 0.7125
0.4292 0.0855 0.2880
0.5708 0.9145 0.7120
0.7728 0.7728 0.2875
0.9145 0.5708 0.7120
```

Values from the calculation:
Space group ... C2/m
Energy relative to the elements, uncorrected ... -1.73 eV per atom
Magnetic moment ... 0.167 μB/atom

=====

Entry 4:
Here is K4AcCe3Se8 after structural relaxation from the Alexandria database. Energies are from PBE.

The structure in POSCAR format:
```
K4AcCe3Se8
1.0
4.4379 2.5622 7.6753
-4.4379 2.5622 7.6753
0.0000 -5.1244 7.6753
K Ac Ce Se
4 1 3 8
direct
0.0000 0.0000 0.0000
0.0000 0.5000 0.5000
0.5000 0.0000 0.5000
0.5000 0.5000 0.0000
0.5000 0.5000 0.5000
0.0000 0.0000 0.5000
0.0000 0.5000 0.0000
0.5000 0.0000 0.0000
0.2280 0.7424 0.7424
0.2359 0.2359 0.2359
0.2576 0.2576 0.7720
0.2576 0.7720 0.2576
0.7424 0.2280 0.7424
0.7424 0.7424 0.2280
0.7641 0.7641 0.7641
0.7720 0.2576 0.2576
```

Values from the calculation:
Space group ... R-3m
Energy relative to the elements, uncorrected ... -1.72 eV per atom
Magnetic moment ... 0.188 μB/atom

=====

Entry 5:
Here is KAcCe2Te4 after structural relaxation from the Alexandria database. Energies are from PBE.

The structure in POSCAR format:
```
KAcCe2Te4
1.0
8.0250 0.0000 0.0000
0.0000 4.5918 0.0000
-2.6147 0.0000 7.7842
K Ac Ce Te
1 1 2 4
direct
0.0000 0.0000 0.0000
0.5000 0.5000 0.0000
0.0000 0.5000 0.5000
0.5000 0.0000 0.5000
0.2466 0.0000 0.7361
0.2604 0.5000 0.2686
0.7396 0.5000 0.7314
0.7534 0.0000 0.2639
```

Values from the calculation:
Space group ... P2/m
Energy relative to the elements, uncorrected ... -1.37 eV per atom
Magnetic moment ... 0.321 μB/atom

=====

Entry 6:
Here is K2AcCeTe4 after structural relaxation from the Alexandria database. Energies are from PBE.

The structure in POSCAR format:
```
K2AcCeTe4
1.0
8.2551 0.0000 0.0000
0.0000 4.7625 0.0000
-2.7449 0.0000 8.2378
K Ac Ce Te
2 1 1 4
direct
0.0000 0.0000 0.0000
0.5000 0.5000 0.0000
0.0000 0.5000 0.5000
0.5000 0.0000 0.5000
0.2491 0.0000 0.7211
0.2703 0.5000 0.2846
0.7297 0.5000 0.7154
0.7509 0.0000 0.2789
```

Values from the calculation:
Space group ... P2/m
Energy relative to the elements, uncorrected ... -1.41 eV per atom
Magnetic moment ... 0.125 μB/atom

=====

Entry 7:
Here is AcLa2Ce after structural relaxation from the Alexandria database. Energies are from PBE.

The structure in POSCAR format:
```
AcLa2Ce
1.0
4.3313 0.0000 0.0000
0.0000 4.3313 0.0000
0.0000 0.0000 7.6699
Ac La Ce
1 2 1
direct
0.0000 0.0000 0.0000
0.5000 0.5000 0.2934
0.5000 0.5000 0.7066
0.0000 0.0000 0.5000
```

Values from the calculation:
Relative energy among the computed polymorphs ... 47 meV per atom
ΔH_f (0 K) ... 0.13 eV/atom
Space group ... P4/mmm
Magnetic moment ... 0.099 μB/atom

=====

Entry 8:
Here is AcLa14Ce after structural relaxation from the Alexandria database. Energies are from PBE.

The structure in POSCAR format:
```
AcLa14Ce
1.0
10.4989 0.0000 0.0000
0.0000 5.2720 5.2773
0.0000 -5.2720 5.2773
Ac La Ce
1 14 1
direct
0.0000 0.0000 0.0000
0.0000 0.5009 0.9975
0.0000 0.9975 0.5009
0.2469 0.2568 0.2568
0.2479 0.2564 0.7422
0.2479 0.7422 0.2564
0.2490 0.7423 0.7423
0.5000 0.0007 0.4974
0.5000 0.4974 0.0007
0.5000 0.5001 0.5001
0.5000 0.9986 0.9986
0.7510 0.7423 0.7423
0.7521 0.2564 0.7422
0.7521 0.7422 0.2564
0.7531 0.2568 0.2568
0.0000 0.4987 0.4987
```

Values from the calculation:
ΔH_f (0 K) ... 0.02 eV/atom
Space group ... Amm2
Magnetic moment ... 0.082 μB/atom

=====

Entry 9:
Here is AcLaCe2 after structural relaxation from the Alexandria database. Energies are from PBE.

The structure in POSCAR format:
```
AcLaCe2
1.0
4.0800 0.0000 0.0000
-2.0400 3.5334 0.0000
0.0000 0.0000 30.8915
Ac La Ce
3 3 6
direct
0.0000 0.0000 0.0000
0.3333 0.6667 0.6667
0.6667 0.3333 0.3333
0.0000 0.0000 0.5000
0.3333 0.6667 0.1667
0.6667 0.3333 0.8333
0.0000 0.0000 0.1135
0.0000 0.0000 0.8865
0.3333 0.6667 0.5532
0.3333 0.6667 0.7801
0.6667 0.3333 0.2199
0.6667 0.3333 0.4468
```

Values from the calculation:
Relative energy among the computed polymorphs ... 573 meV per atom
ΔH_f (0 K) ... 0.71 eV/atom
Space group ... R-3m
Magnetic moment ... 0.435 μB/atom

=====

Entry 10:
Here is Ac2La15Ce2 after structural relaxation from the Alexandria database. Energies are from PBE.

The structure in POSCAR format:
```
Ac2La15Ce2
1.0
5.8570 3.3816 6.0211
-5.8570 3.3816 6.0211
0.0000 -6.7631 6.0211
Ac La Ce
2 15 2
direct
0.1750 0.1750 0.1750
0.8250 0.8250 0.8250
0.0000 0.5000 0.5000
0.1349 0.1349 0.6567
0.1349 0.6567 0.1349
0.2069 0.5000 0.7931
0.2069 0.7931 0.5000
0.3433 0.8651 0.8651
0.5000 0.0000 0.5000
0.5000 0.2069 0.7931
0.5000 0.5000 0.0000
0.5000 0.7931 0.2069
0.6567 0.1349 0.1349
0.7931 0.2069 0.5000
0.7931 0.5000 0.2069
0.8651 0.3433 0.8651
0.8651 0.8651 0.3433
0.4274 0.4274 0.4274
0.5726 0.5726 0.5726
```

Values from the calculation:
ΔH_f (0 K) ... 0.18 eV/atom
Space group ... R-3m
Magnetic moment ... 0.034 μB/atom

=====

Entry 11:
Here is Ac2La6Ce after structural relaxation from the Alexandria database. Energies are from PBE.

The structure in POSCAR format:
```
Ac2La6Ce
1.0
3.7806 0.0000 0.0000
-1.8903 3.2741 0.0000
0.0000 0.0000 27.8949
Ac La Ce
2 6 1
direct
0.0000 0.0000 0.1723
0.0000 0.0000 0.8277
0.0000 0.0000 0.3978
0.0000 0.0000 0.6022
0.6667 0.3333 0.0610
0.6667 0.3333 0.2871
0.6667 0.3333 0.7129
0.6667 0.3333 0.9390
0.6667 0.3333 0.5000
```

Values from the calculation:
ΔH_f (0 K) ... 0.09 eV/atom
Space group ... P-6m2
Magnetic moment ... 0.117 μB/atom

=====

Entry 12:
Here is AcLa6Ce after structural relaxation from the Alexandria database. Energies are from PBE.

The structure in POSCAR format:
```
AcLa6Ce
1.0
5.2495 0.0000 0.0000
0.0000 5.2495 0.0000
0.0000 0.0000 10.5527
Ac La Ce
1 6 1
direct
0.0000 0.0000 0.0000
0.0000 0.5000 0.2639
0.0000 0.5000 0.7361
0.5000 0.0000 0.2639
0.5000 0.0000 0.7361
0.5000 0.5000 0.0000
0.5000 0.5000 0.5000
0.0000 0.0000 0.5000
```

Values from the calculation:
ΔH_f (0 K) ... 0.03 eV/atom
Space group ... P4/mmm
Magnetic moment ... 0.108 μB/atom

=====

Entry 13:
Here is AcLa2Ce after structural relaxation from the Alexandria database. Energies are from PBE.

The structure in POSCAR format:
```
AcLa2Ce
1.0
6.5229 0.0000 0.0000
0.0000 3.7683 0.0000
-2.1547 0.0000 12.1271
Ac La Ce
2 4 2
direct
0.0000 0.0000 0.0000
0.5000 0.5000 0.0000
0.0809 0.5000 0.7399
0.4229 0.0000 0.2670
0.5809 0.0000 0.7399
0.9229 0.5000 0.2670
0.1678 0.0000 0.5026
0.6678 0.5000 0.5026
```

Values from the calculation:
Relative energy among the computed polymorphs ... 3 meV per atom
ΔH_f (0 K) ... 0.09 eV/atom
Space group ... Cm
Magnetic moment ... 0.310 μB/atom